Here is an optimized crystal structure of NdSc2S from Alexandria via LeMat-Bulk. Energies are from PBE-GGA.

Properties
Polymorph energy (0 for the lowest one)   0 meV/atom
DFT total energy   -6.281 eV per atom
Formation energy (no corrections)   -0.89 eV per atom

Cell lengths 3.5545, 3.5545, 26.6622 Å; angles 90.00, 90.00, 120.00 degrees
Space group R3m (No. 160, hexagonal axes)
Unique sites:
1 Nd 0.0000 0.0000 0.0000 (multiplicity 3)
2 Sc 0.0000 0.0000 0.2242 (multiplicity 3)
3 Sc 0.0000 0.0000 0.4434 (multiplicity 3)
4 S 0.0000 0.0000 0.8337 (multiplicity 3)